First-principles (PBE) data for a geometry-optimized LiNi3Sb structure, as listed in Alexandria.

a = 4.6967 Å, b = 4.6967 Å, c = 4.6967 Å
α = 90.00°, β = 90.00°, γ = 90.00°
Closest atoms and distances in Å follow each position.
Fractional coordinates of all 5 atoms:
Li: 0.0000 0.0000 0.0000  12 Ni 3.32
Ni: 0.0000 0.5000 0.5000  2 Sb 2.35
Ni: 0.5000 0.0000 0.5000  2 Sb 2.35
Ni: 0.5000 0.5000 0.0000  2 Sb 2.35
Sb: 0.5000 0.5000 0.5000  6 Ni 2.35

space-group type = Pm-3m
polymorph energy (0 for the lowest one) = 820 meV per atom

***

First-principles (PBE) data for a geometry-optimized Li3Ni2Sb2 structure, as listed in Alexandria.

a = 4.3641 Å, b = 4.3641 Å, c = 7.0966 Å
α = 107.72°, β = 107.72°, γ = 60.03°
Closest atoms and distances in Å follow each position.
Fractional coordinates of all 7 atoms:
Li: 0.0000 0.0000 0.0000  6 Ni 2.78-2.80, 2 Li 2.78, 6 Sb 2.92-2.93
Li: 0.1396 0.1396 0.4189  4 Ni 2.66-2.98, 4 Li 2.74-2.78, 3 Sb 2.83
Li: 0.8604 0.8604 0.5811  4 Ni 2.66-2.98, 4 Li 2.74-2.78, 3 Sb 2.83
Ni: 0.2725 0.2725 0.8197  4 Sb 2.54-2.69, 4 Li 2.66-2.80
Ni: 0.7275 0.7275 0.1803  4 Sb 2.54-2.69, 4 Li 2.66-2.80
Sb: 0.4085 0.4085 0.2244  4 Ni 2.54-2.69, 3 Li 2.83
Sb: 0.5915 0.5915 0.7756  4 Ni 2.54-2.69, 3 Li 2.83

space-group type = C2/m

***

First-principles (PBE) data for a geometry-optimized LiNi3Sb structure, as listed in Alexandria.

a = 8.6763 Å, b = 8.6763 Å, c = 3.9071 Å
α = 90.00°, β = 90.00°, γ = 154.12°
Closest atoms and distances in Å follow each position.
Fractional coordinates of all 10 atoms:
Li: 0.1452 0.8548 0.7500  8 Ni 2.57-2.64, 4 Sb 2.76
Li: 0.8548 0.1452 0.2500  8 Ni 2.57-2.64, 4 Sb 2.76
Ni: 0.0461 0.9539 0.2500  8 Ni 2.49-2.76, 2 Li 2.57, 2 Sb 2.59
Ni: 0.2503 0.7497 0.2500  4 Sb 2.61, 4 Li 2.63-2.64, 4 Ni 2.76
Ni: 0.4540 0.5460 0.2500  8 Ni 2.49-2.76, 2 Li 2.57, 2 Sb 2.60
Ni: 0.5460 0.4540 0.7500  8 Ni 2.49-2.76, 2 Li 2.57, 2 Sb 2.60
Ni: 0.7497 0.2503 0.7500  4 Sb 2.61, 4 Li 2.63-2.64, 4 Ni 2.76
Ni: 0.9539 0.0461 0.7500  8 Ni 2.49-2.76, 2 Li 2.57, 2 Sb 2.59
Sb: 0.3528 0.6472 0.7500  8 Ni 2.59-2.61, 4 Li 2.76
Sb: 0.6472 0.3528 0.2500  8 Ni 2.59-2.61, 4 Li 2.76

space-group type = Cmcm
polymorph energy (0 for the lowest one) = 0 meV per atom

***

First-principles (PBE) data for a geometry-optimized LiNi3Sb structure, as listed in Alexandria.

a = 6.5770 Å, b = 6.5770 Å, c = 6.5770 Å
α = 134.69°, β = 79.07°, γ = 119.11°
Closest atoms and distances in Å follow each position.
Fractional coordinates of all 10 atoms:
Li: 0.3295 0.0795 0.2500  7 Ni 2.59-2.81
Li: 0.6705 0.9205 0.7500  7 Ni 2.59-2.81
Ni: 0.1184 0.0000 0.6184  5 Ni 2.40-2.53, 2 Sb 2.48
Ni: 0.1184 0.5000 0.1184  5 Ni 2.40-2.53, 2 Sb 2.48
Ni: 0.2504 0.5004 0.7500  4 Ni 2.42, 2 Sb 2.54, 2 Li 2.59
Ni: 0.7496 0.4996 0.2500  4 Ni 2.42, 2 Sb 2.54, 2 Li 2.59
Ni: 0.8816 0.0000 0.3816  5 Ni 2.40-2.53, 2 Sb 2.48
Ni: 0.8816 0.5000 0.8816  5 Ni 2.40-2.53, 2 Sb 2.48
Sb: 0.0000 0.5000 0.5000  6 Ni 2.48-2.54
Sb: 0.5000 0.5000 0.0000  6 Ni 2.48-2.54

space-group type = Imma
polymorph energy (0 for the lowest one) = 252 meV per atom

***

First-principles (PBE) data for a geometry-optimized LiNiSb structure, as listed in Alexandria.

a = 4.2364 Å, b = 4.2364 Å, c = 7.1691 Å
α = 107.37°, β = 107.37°, γ = 60.06°
Closest atoms and distances in Å follow each position.
Fractional coordinates of all 6 atoms:
Li: 0.0000 0.0000 0.0000  1 Ni 2.64, 3 Sb 2.89-2.90
Li: 0.1590 0.1590 0.4759  6 Ni 2.60-2.62
Ni: 0.4455 0.4455 0.3358  4 Sb 2.55-2.58, 3 Li 2.62
Ni: 0.8698 0.8698 0.6079  4 Sb 2.54-2.56, 4 Li 2.60-2.64
Sb: 0.5739 0.5739 0.7197  4 Ni 2.56-2.58
Sb: 0.7434 0.7434 0.2299  4 Ni 2.54-2.55

space-group type = Cm

***

First-principles (PBE) data for a geometry-optimized Li2NiSb2 structure, as listed in Alexandria.

a = 6.6559 Å, b = 6.6559 Å, c = 4.5640 Å
α = 90.00°, β = 90.00°, γ = 90.00°
Closest atoms and distances in Å follow each position.
Fractional coordinates of all 10 atoms:
Li: 0.1603 0.3397 0.0000  6 Sb 2.87-3.10, 1 Li 3.02
Li: 0.3397 0.8397 0.0000  6 Sb 2.87-3.10, 1 Li 3.02
Li: 0.6603 0.1603 0.0000  6 Sb 2.87-3.10, 1 Li 3.02
Li: 0.8397 0.6603 0.0000  6 Sb 2.87-3.10, 1 Li 3.02
Ni: 0.0000 0.0000 0.5000  4 Sb 2.52
Ni: 0.5000 0.5000 0.5000  4 Sb 2.52
Sb: 0.1543 0.6543 0.5000  2 Ni 2.52
Sb: 0.3457 0.1543 0.5000  2 Ni 2.52
Sb: 0.6543 0.8457 0.5000  2 Ni 2.52
Sb: 0.8457 0.3457 0.5000  2 Ni 2.52

space-group type = P4/mbm
polymorph energy (0 for the lowest one) = 0 meV per atom

***

| no. | formation energy without anion corrections (eV per atom) |
| --- | --- |
| 1 | 0.62 |
| 2 | -0.44 |
| 3 | -0.20 |
| 4 | 0.05 |
| 5 | -0.38 |
| 6 | -0.34 |